Below is an optimized crystal structure of NdTc3B3, with properties calculated at the PBE level.

Geometry as POSCAR:
```
NdTc3B3
1.0
8.338 0.000 0.000
-4.169 7.221 0.000
0.000 0.000 3.067
Nd Tc B
2 6 6
Cartesian
0.000 4.814 0.767
4.169 2.407 2.300
-0.849 2.161 2.300
-1.873 6.876 2.300
1.447 1.816 0.767
2.722 5.405 2.300
6.042 0.345 0.767
5.018 5.060 0.767
-2.090 4.057 2.300
1.700 3.382 2.300
3.779 0.219 0.767
0.390 7.002 2.300
2.469 3.838 0.767
6.259 3.164 0.767
```

Results
* crystal system: hexagonal
* formation enthalpy at 0 K: -0.159 eV per atom
* SG: P6_3/m (176)
* magnetic moment: 0.0 μB/f.u.

Below is an optimized crystal structure of Pr2Dy5Ho2, with properties calculated at the PBE level.

Geometry as POSCAR:
```
Pr2Dy5Ho2
1.0
-7.464 5.933 3.363
7.464 -5.933 3.363
7.464 5.933 -3.363
Pr Dy Ho
4 10 4
Cartesian
0.000 0.000 0.000
7.464 0.000 0.000
11.195 -0.100 0.602
3.732 0.100 0.602
2.125 2.786 -0.791
5.338 2.786 -0.791
3.732 -2.897 2.607
-0.786 2.906 1.291
8.249 2.906 1.291
3.732 8.830 -0.756
2.125 3.147 2.571
5.338 3.147 2.571
0.786 8.959 1.291
-0.786 3.026 4.654
1.888 -0.034 3.655
5.576 -0.034 3.655
1.888 5.966 0.292
5.576 5.966 0.292
```

Results
* crystal system: orthorhombic
* formation enthalpy at 0 K: 0.214 eV per atom
* SG: Ima2 (46)
* relative energy among the computed polymorphs: 0.0000 eV per atom
* magnetic moment: 0.0 μB/f.u.

Below is an optimized crystal structure of Sm2Ho2Sc7, with properties calculated at the PBE level.

Geometry as POSCAR:
```
Sm2Ho2Sc7
1.0
3.254 -5.099 0.000
3.254 5.099 0.000
-0.127 0.000 9.131
Sm Ho Sc
2 2 7
Cartesian
3.254 2.980 0.000
3.254 -2.980 0.000
1.093 0.000 6.850
5.288 0.000 2.281
2.162 2.990 5.869
2.227 0.000 1.269
4.219 2.990 3.261
3.191 0.000 4.565
2.162 -2.990 5.869
4.154 0.000 7.862
4.219 -2.990 3.261
```

Results
* crystal system: monoclinic
* formation enthalpy at 0 K: 0.140 eV per atom
* SG: C2/m (12)
* magnetic moment: 0.0 μB/f.u.